Below is a relaxed structure of CdIn3Pd5, with properties calculated at the GGA-PBE level.

Computed properties:
V = 320.00 Å³ per cell
Fermi-level density of states = 0.46 states/eV/atom
DFT formation energy = -0.457 eV per atom

Cell: 8.0404 8.0404 5.7156 Å, 90.00 90.00 120.00°
Positions (direct):
Cd: 0.0000 0.0000 0.0000
Cd: 0.0000 0.0000 0.5000
In: 0.0000 0.3689 0.2500
In: 0.0000 0.6311 0.7500
In: 0.3689 0.0000 0.2500
In: 0.3689 0.3689 0.7500
In: 0.6311 0.0000 0.7500
In: 0.6311 0.6311 0.2500
Pd: 0.0000 0.3011 0.7500
Pd: 0.0000 0.6989 0.2500
Pd: 0.3011 0.0000 0.7500
Pd: 0.3011 0.3011 0.2500
Pd: 0.3333 0.6667 0.0000
Pd: 0.3333 0.6667 0.5000
Pd: 0.6667 0.3333 0.0000
Pd: 0.6667 0.3333 0.5000
Pd: 0.6989 0.0000 0.2500
Pd: 0.6989 0.6989 0.7500



Below is a relaxed structure of TbGdTlNi, with properties calculated at the GGA-PBE level.

Computed properties:
V = 387.46 Å³ per cell
Fermi-level density of states = 0.99 states/eV/atom
DFT formation energy = -0.237 eV per atom

Cell: 7.2903 7.2903 7.2903 Å, 90.00 90.00 90.00°
Positions (direct):
Tb: 0.0000 0.0000 0.0000
Tb: 0.0000 0.5000 0.5000
Tb: 0.5000 0.0000 0.5000
Tb: 0.5000 0.5000 0.0000
Gd: 0.0000 0.0000 0.5000
Gd: 0.0000 0.5000 0.0000
Gd: 0.5000 0.0000 0.0000
Gd: 0.5000 0.5000 0.5000
Tl: 0.2500 0.2500 0.7500
Tl: 0.2500 0.7500 0.2500
Tl: 0.7500 0.2500 0.2500
Tl: 0.7500 0.7500 0.7500
Ni: 0.2500 0.2500 0.2500
Ni: 0.2500 0.7500 0.7500
Ni: 0.7500 0.2500 0.7500
Ni: 0.7500 0.7500 0.2500



Below is a relaxed structure of Ac2MgAg4, with properties calculated at the GGA-PBE level.

Computed properties:
ΔE to the lowest computed polymorph = 0.146 eV per atom
V = 416.57 Å³ per cell
Fermi-level density of states = 0.87 states/eV/atom
DFT formation energy = 0.008 eV per atom

Cell: 5.0485 5.0485 16.3440 Å, 90.00 90.00 90.00°
Positions (direct):
Ac: 0.0000 0.0000 0.1371
Ac: 0.0000 0.0000 0.8629
Ac: 0.5000 0.5000 0.3629
Ac: 0.5000 0.5000 0.6371
Mg: 0.0000 0.0000 0.5000
Mg: 0.5000 0.5000 0.0000
Ag: 0.0000 0.0000 0.3349
Ag: 0.0000 0.0000 0.6651
Ag: 0.0000 0.5000 0.0000
Ag: 0.0000 0.5000 0.5000
Ag: 0.5000 0.0000 0.0000
Ag: 0.5000 0.0000 0.5000
Ag: 0.5000 0.5000 0.1651
Ag: 0.5000 0.5000 0.8349



Below is a relaxed structure of Gd3ReB7, with properties calculated at the GGA-PBE level.

Computed properties:
V = 267.55 Å³ per cell
Fermi-level density of states = 0.36 states/eV/atom
DFT formation energy = -0.557 eV per atom

Cell: 8.1887 8.1887 9.4128 Å, 90.00 90.00 154.92°
Positions (direct):
Gd: 0.1048 0.8952 0.5615
Gd: 0.1048 0.8952 0.9385
Gd: 0.2424 0.7576 0.2500
Gd: 0.7576 0.2424 0.7500
Gd: 0.8952 0.1048 0.0615
Gd: 0.8952 0.1048 0.4385
Re: 0.0541 0.9459 0.2500
Re: 0.9459 0.0541 0.7500
B: 0.2736 0.7264 0.5321
B: 0.2736 0.7264 0.9679
B: 0.3679 0.6321 0.6506
B: 0.3679 0.6321 0.8494
B: 0.4601 0.5399 0.2500
B: 0.4782 0.5218 0.5958
B: 0.4782 0.5218 0.9042
B: 0.5218 0.4782 0.0958
B: 0.5218 0.4782 0.4042
B: 0.5399 0.4601 0.7500
B: 0.6321 0.3679 0.1506
B: 0.6321 0.3679 0.3494
B: 0.7264 0.2736 0.0321
B: 0.7264 0.2736 0.4679



Below is a relaxed structure of NaBi3Pd4, with properties calculated at the GGA-PBE level.

Computed properties:
V = 409.01 Å³ per cell
Fermi-level density of states = 0.34 states/eV/atom
DFT formation energy = -0.141 eV per atom

Cell: 9.4727 8.3975 5.1418 Å, 90.00 90.00 90.00°
Positions (direct):
Na: 0.0000 0.0609 0.0000
Na: 0.5000 0.9391 0.5000
Bi: 0.0000 0.6313 0.6759
Bi: 0.2271 0.2157 0.5047
Bi: 0.2729 0.7843 0.0047
Bi: 0.5000 0.3687 0.1759
Bi: 0.7271 0.7843 0.0047
Bi: 0.7729 0.2157 0.5047
Pd: 0.0000 0.3808 0.3418
Pd: 0.0000 0.7083 0.1781
Pd: 0.1877 0.8950 0.5053
Pd: 0.3123 0.1050 0.0053
Pd: 0.5000 0.2917 0.6781
Pd: 0.5000 0.6192 0.8418
Pd: 0.6877 0.1050 0.0053
Pd: 0.8123 0.8950 0.5053



Below is a relaxed structure of Sr3Cu4Au2, with properties calculated at the GGA-PBE level.

Computed properties:
V = 214.53 Å³ per cell
Fermi-level density of states = 0.38 states/eV/atom
DFT formation energy = -0.340 eV per atom

Cell: 6.1038 6.1038 8.7905 Å, 103.50 103.50 42.58°
Positions (direct):
Sr: 0.0000 0.0000 0.0000
Sr: 0.3338 0.3338 0.3329
Sr: 0.6662 0.6662 0.6671
Cu: 0.0516 0.0516 0.3943
Cu: 0.2734 0.2734 0.9507
Cu: 0.7266 0.7266 0.0493
Cu: 0.9484 0.9484 0.6057
Au: 0.3872 0.3872 0.7244
Au: 0.6128 0.6128 0.2756



Below is a relaxed structure of CsCaTiSe3, with properties calculated at the GGA-PBE level.

Computed properties:
raw total energy = -4.81 eV/atom
V = 378.98 Å³ per cell
Fermi-level density of states = 0.45 states/eV/atom

Cell: 8.6729 8.6729 9.4783 Å, 102.91 102.91 33.13°
Positions (direct):
Cs: 0.1413 0.1413 0.0621
Cs: 0.8587 0.8587 0.9379
Ca: 0.1558 0.1558 0.5692
Ca: 0.8442 0.8442 0.4308
Ti: 0.4947 0.4947 0.6589
Ti: 0.5053 0.5053 0.3411
Se: 0.0058 0.0058 0.3162
Se: 0.3389 0.3389 0.6371
Se: 0.3545 0.3545 0.2310
Se: 0.6455 0.6455 0.7690
Se: 0.6611 0.6611 0.3629
Se: 0.9942 0.9942 0.6838



Below is a relaxed structure of CdInBrO, with properties calculated at the GGA-PBE level.

Computed properties:
raw total energy = -3.27 eV/atom
V = 205.00 Å³ per cell

Cell: 16.2088 16.2088 16.2088 Å, 13.60 13.60 13.60°
Positions (direct):
Cd: 0.1415 0.1415 0.1415
Cd: 0.8585 0.8585 0.8585
In: 0.3016 0.3016 0.3016
In: 0.6984 0.6984 0.6984
Br: 0.4045 0.4045 0.4045
Br: 0.5955 0.5955 0.5955
O: 0.1922 0.1922 0.1922
O: 0.8078 0.8078 0.8078



Below is a relaxed structure of Ac2LaTmTe6, with properties calculated at the GGA-PBE level.

Computed properties:
raw total energy = -5.12 eV/atom
V = 413.46 Å³ per cell
Fermi-level density of states = 0.00 states/eV/atom

Cell: 8.5640 8.5640 8.5640 Å, 57.01 57.01 57.01°
Positions (direct):
Ac: 0.0000 0.0000 0.0000
Ac: 0.4982 0.4982 0.4982
La: 0.2011 0.2011 0.2011
Tm: 0.6988 0.6988 0.6988
Te: 0.0654 0.4325 0.8197
Te: 0.3299 0.9144 0.5824
Te: 0.4325 0.8197 0.0654
Te: 0.5824 0.3299 0.9144
Te: 0.8197 0.0654 0.4325
Te: 0.9144 0.5824 0.3299



Below is a relaxed structure of Cs4SrTh3Se8, with properties calculated at the GGA-PBE level.

Computed properties:
raw total energy = -5.05 eV/atom
V = 566.50 Å³ per cell
Fermi-level density of states = 0.56 states/eV/atom

Cell: 9.8433 9.8433 9.8433 Å, 53.17 53.17 53.17°
Positions (direct):
Cs: 0.0000 0.0000 0.0000
Cs: 0.0000 0.5000 0.5000
Cs: 0.5000 0.0000 0.5000
Cs: 0.5000 0.5000 0.0000
Sr: 0.5000 0.5000 0.5000
Th: 0.0000 0.0000 0.5000
Th: 0.0000 0.5000 0.0000
Th: 0.5000 0.0000 0.0000
Se: 0.2155 0.7386 0.7386
Se: 0.2301 0.2301 0.2301
Se: 0.2614 0.2614 0.7845
Se: 0.2614 0.7845 0.2614
Se: 0.7386 0.2155 0.7386
Se: 0.7386 0.7386 0.2155
Se: 0.7699 0.7699 0.7699
Se: 0.7845 0.2614 0.2614



Below is a relaxed structure of K2RuCl5, with properties calculated at the GGA-PBE level.

Computed properties:
raw total energy = -3.79 eV/atom
V = 872.67 Å³ per cell
Fermi-level density of states = 0.71 states/eV/atom

Cell: 8.9775 6.8404 14.2107 Å, 90.00 90.00 90.00°
Positions (direct):
K: 0.0452 0.2500 0.1981
K: 0.1686 0.7500 0.4145
K: 0.3314 0.2500 0.9145
K: 0.4548 0.7500 0.6981
K: 0.5452 0.2500 0.3019
K: 0.6686 0.7500 0.0855
K: 0.8314 0.2500 0.5855
K: 0.9548 0.7500 0.8019
Ru: 0.1733 0.7500 0.0540
Ru: 0.3267 0.2500 0.5540
Ru: 0.6733 0.7500 0.4460
Ru: 0.8267 0.2500 0.9460
Cl: 0.0000 0.0000 0.0000
Cl: 0.0000 0.5000 0.0000
Cl: 0.0505 0.7500 0.2019
Cl: 0.1633 0.0085 0.6054
Cl: 0.1633 0.4915 0.6054
Cl: 0.2141 0.2500 0.3983
Cl: 0.2859 0.7500 0.8983
Cl: 0.3367 0.5085 0.1054
Cl: 0.3367 0.9915 0.1054
Cl: 0.4495 0.2500 0.7019
Cl: 0.5000 0.0000 0.5000
Cl: 0.5000 0.5000 0.5000
Cl: 0.5505 0.7500 0.2981
Cl: 0.6633 0.0085 0.8946
Cl: 0.6633 0.4915 0.8946
Cl: 0.7141 0.2500 0.1017
Cl: 0.7859 0.7500 0.6017
Cl: 0.8367 0.5085 0.3946
Cl: 0.8367 0.9915 0.3946
Cl: 0.9495 0.2500 0.7981



Below is a relaxed structure of ZnCuP2, with properties calculated at the GGA-PBE level.

Computed properties:
V = 65.80 Å³ per cell
Fermi-level density of states = 0.31 states/eV/atom
DFT formation energy = 0.086 eV per atom

Cell: 4.1756 3.5058 4.6167 Å, 90.00 103.20 90.00°
Positions (direct):
Zn: 0.0000 0.0000 0.0000
Cu: 0.5000 0.0000 0.5000
P: 0.2185 0.5000 0.6802
P: 0.7815 0.5000 0.3198



Below is a relaxed structure of U4P6Pd5, with properties calculated at the GGA-PBE level.

Computed properties:
V = 537.76 Å³ per cell
Fermi-level density of states = 1.49 states/eV/atom
DFT formation energy = -0.751 eV per atom

Cell: 9.7556 9.7556 14.4304 Å, 90.00 90.00 156.95°
Positions (direct):
U: 0.0065 0.9935 0.5000
U: 0.0319 0.9681 0.7778
U: 0.1665 0.8335 0.3016
U: 0.1853 0.8147 0.9433
U: 0.8147 0.1853 0.4433
U: 0.8335 0.1665 0.8016
U: 0.9681 0.0319 0.2778
U: 0.9935 0.0065 0.0000
P: 0.1211 0.8789 0.1132
P: 0.2198 0.7802 0.4847
P: 0.2349 0.7651 0.7637
P: 0.4150 0.5850 0.4118
P: 0.4335 0.5665 0.8508
P: 0.4371 0.5629 0.1276
P: 0.5629 0.4371 0.6276
P: 0.5665 0.4335 0.3508
P: 0.5850 0.4150 0.9118
P: 0.7651 0.2349 0.2637
P: 0.7802 0.2198 0.9847
P: 0.8789 0.1211 0.6132
Pd: 0.1488 0.8512 0.6290
Pd: 0.2991 0.7009 0.6194
Pd: 0.3426 0.6574 0.2727
Pd: 0.3575 0.6425 0.9820
Pd: 0.4401 0.5599 0.6748
Pd: 0.5599 0.4401 0.1748
Pd: 0.6425 0.3575 0.4820
Pd: 0.6574 0.3426 0.7727
Pd: 0.7009 0.2991 0.1194
Pd: 0.8512 0.1488 0.1290